a | Here is HfGeNF2 after structural relaxation from Alexandria. Energies are from PBE.

Results
* calculated volume: 13.88 A^3/atom
* density of states at the Fermi level: 0.6318 states/eV per atom
* M_tot: 1.4 Bohr magnetons per cell

a = 4.137 Å, b = 4.137 Å, c = 4.054 Å
α = 90.00°, β = 90.00°, γ = 90.00°
Fractional positions:
F1 0.500 0.000 0.000
Hf1 0.500 0.500 0.500
F2 0.000 0.500 0.000
Ge1 0.000 0.000 0.000
N1 0.000 0.000 0.500

---

b | Here is HfGeNF2 after structural relaxation from Alexandria. Energies are from PBE.

Results
* calculated volume: 14.76 A^3/atom
* density of states at the Fermi level: 0.2630 states/eV per atom
* M_tot: 0.0 Bohr magnetons per cell

a = 4.175 Å, b = 4.175 Å, c = 4.234 Å
α = 90.00°, β = 90.00°, γ = 90.00°
Fractional positions:
F1 0.000 0.500 0.000
N1 0.000 0.000 0.500
Ge1 0.500 0.500 0.500
Hf1 0.000 0.000 0.000
F2 0.500 0.000 0.000

---

The structure with the greatest stability is b.

---

a | Here is HgGeF4 after structural relaxation from Alexandria. Energies are from PBE.

Results
* calculated volume: 18.11 A^3/atom
* M_tot: 0.0 Bohr magnetons per cell

a = 5.866 Å, b = 5.993 Å, c = 6.181 Å
α = 90.00°, β = 90.00°, γ = 90.00°
Fractional positions:
F1 0.332 0.743 0.000
Ge1 0.030 0.570 0.500
Hg1 0.558 0.038 0.500
F2 0.348 0.282 0.211
F3 0.256 0.854 0.500
F4 0.348 0.282 0.789
F5 0.848 0.718 0.711
F6 0.848 0.718 0.289
F7 0.832 0.257 0.500
F8 0.756 0.146 0.000
Hg2 0.058 0.962 0.000
Ge2 0.530 0.430 0.000

---

b | Here is HgGeF4 after structural relaxation from Alexandria. Energies are from PBE.

Results
* calculated volume: 25.55 A^3/atom
* density of states at the Fermi level: 0.0000 states/eV per atom
* M_tot: 0.0 Bohr magnetons per cell

a = 7.747 Å, b = 5.750 Å, c = 9.202 Å
α = 90.00°, β = 131.59°, γ = 90.00°
Fractional positions:
Hg1 0.328 0.250 0.307
Ge1 0.205 0.250 0.750
F1 0.763 0.993 0.126
F2 0.598 0.750 0.278
Hg2 0.672 0.750 0.693
F3 0.237 0.007 0.874
F4 0.402 0.250 0.722
Ge2 0.795 0.750 0.250
F5 0.068 0.750 0.477
F6 0.237 0.493 0.874
F7 0.932 0.250 0.523
F8 0.763 0.507 0.126

---

The structure with the greatest stability is b.

---

a | Here is HgGe2F after structural relaxation from Alexandria. Energies are from PBE.

Results
* calculated volume: 17.80 A^3/atom
* density of states at the Fermi level: 0.7103 states/eV per atom
* M_tot: 0.0 Bohr magnetons per cell

a = 4.653 Å, b = 4.653 Å, c = 4.653 Å
α = 60.00°, β = 60.00°, γ = 60.00°
Fractional positions:
Hg1 0.500 0.500 0.500
Ge1 0.250 0.250 0.250
F1 0.000 0.000 0.000
Ge2 0.750 0.750 0.750

---

b | Here is HgGe2F after structural relaxation from Alexandria. Energies are from PBE.

Results
* calculated volume: 21.54 A^3/atom
* density of states at the Fermi level: 0.2598 states/eV per atom
* M_tot: 0.0 Bohr magnetons per cell

a = 4.654 Å, b = 4.654 Å, c = 8.609 Å
α = 74.32°, β = 74.32°, γ = 90.00°
Fractional positions:
Hg1 0.750 0.250 0.500
Ge1 0.875 0.764 0.750
F1 0.500 0.500 0.000
Ge2 0.236 0.625 0.250
Hg2 0.000 0.000 0.000
F2 0.250 0.750 0.500
Ge3 0.375 0.486 0.750
Ge4 0.514 0.125 0.250

---

The structure with the greatest stability is b.

---

a | Here is Hg2GeF6 after structural relaxation from Alexandria. Energies are from PBE.

Results
* calculated volume: 21.23 A^3/atom
* density of states at the Fermi level: 0.0000 states/eV per atom
* M_tot: 0.0 Bohr magnetons per cell

a = 6.000 Å, b = 6.000 Å, c = 7.042 Å
α = 64.79°, β = 64.79°, γ = 60.00°
Fractional positions:
Hg1 0.334 0.334 0.999
F1 0.410 0.850 0.888
F2 0.871 0.446 0.238
Hg2 0.474 0.474 0.577
F3 0.446 0.445 0.238
Ge1 0.653 0.653 0.040
F4 0.445 0.871 0.238
F5 0.850 0.851 0.888
F6 0.851 0.410 0.888

---

b | Here is Hg2GeF6 after structural relaxation from Alexandria. Energies are from PBE.

Results
* calculated volume: 15.81 A^3/atom
* M_tot: 0.0 Bohr magnetons per cell

a = 5.678 Å, b = 4.809 Å, c = 11.580 Å
α = 90.00°, β = 115.84°, γ = 90.00°
Fractional positions:
F1 0.882 0.710 0.562
Hg1 0.155 0.588 0.282
F2 0.197 0.317 0.968
F3 0.118 0.290 0.438
F4 0.303 0.817 0.532
Hg2 0.345 0.088 0.218
Hg3 0.845 0.412 0.718
F5 0.697 0.183 0.468
F6 0.655 0.348 0.164
Ge1 0.500 0.500 0.000
F7 0.845 0.848 0.336
F8 0.345 0.652 0.836
Hg4 0.655 0.912 0.782
F9 0.382 0.790 0.062
F10 0.155 0.152 0.664
Ge2 0.000 0.000 0.500
F11 0.803 0.683 0.032
F12 0.618 0.210 0.938

---

The structure with the greatest stability is a.

---

a | Here is HgGeOF2 after structural relaxation from Alexandria. Energies are from PBE.

Results
* calculated volume: 17.48 A^3/atom
* density of states at the Fermi level: 0.3205 states/eV per atom
* M_tot: 0.0 Bohr magnetons per cell

a = 4.529 Å, b = 4.529 Å, c = 4.261 Å
α = 90.00°, β = 90.00°, γ = 90.00°
Fractional positions:
F1 0.000 0.500 0.000
F2 0.500 0.000 0.000
O1 0.000 0.000 0.500
Hg1 0.000 0.000 0.000
Ge1 0.500 0.500 0.500

---

b | Here is HgGeOF2 after structural relaxation from Alexandria. Energies are from PBE.

Results
* calculated volume: 14.35 A^3/atom
* density of states at the Fermi level: 0.7020 states/eV per atom
* M_tot: 0.0 Bohr magnetons per cell

a = 4.379 Å, b = 4.379 Å, c = 3.742 Å
α = 90.00°, β = 90.00°, γ = 90.00°
Fractional positions:
F1 0.500 0.000 0.000
Ge1 0.000 0.000 0.000
O1 0.000 0.000 0.500
F2 0.000 0.500 0.000
Hg1 0.500 0.500 0.500

---

The structure with the greatest stability is b.

---

a | Here is GeI3F after structural relaxation from Alexandria. Energies are from PBE.

Results
* calculated volume: 36.17 A^3/atom
* density of states at the Fermi level: 2.3116 states/eV per atom
* M_tot: 1.3 Bohr magnetons per cell

a = 5.655 Å, b = 5.655 Å, c = 5.655 Å
α = 90.00°, β = 90.00°, γ = 90.00°
Fractional positions:
Ge1 0.000 0.000 0.000
I1 0.500 0.000 0.000
I2 0.000 0.000 0.500
F1 0.500 0.500 0.500
I3 0.000 0.500 0.000

---

b | Here is GeI3F after structural relaxation from Alexandria. Energies are from PBE.

Results
* calculated volume: 30.09 A^3/atom
* density of states at the Fermi level: 1.4019 states/eV per atom
* M_tot: 0.0 Bohr magnetons per cell

a = 5.318 Å, b = 5.318 Å, c = 5.318 Å
α = 90.00°, β = 90.00°, γ = 90.00°
Fractional positions:
I1 0.000 0.500 0.000
Ge1 0.500 0.500 0.500
I2 0.000 0.000 0.500
I3 0.500 0.000 0.000
F1 0.000 0.000 0.000

---

The structure with the greatest stability is a.